# PuTlIn

PuTlIn after structural relaxation (PBE-GGA, Alexandria).

a b c (Å): 5.2603 5.2603 3.3234
angles (deg): 90.00 90.00 120.00
Fractional positions:
Pu (0.0000, 0.0000, 0.0000)
Tl (0.3333, 0.6667, 0.5000)
In (0.6667, 0.3333, 0.5000)

Summary:
Energy relative to the lowest polymorph listed for this composition, meV per atom: 0



# PrNd15Ho4

PrNd15Ho4 after structural relaxation (PBE-GGA, Alexandria).

a b c (Å): 5.1703 5.1703 25.7541
angles (deg): 90.00 90.00 90.00
Fractional positions:
Pr (0.0000, 0.0000, 0.0000)
Nd (0.0000, 0.5000, 0.1021)
Nd (0.0000, 0.5000, 0.3012)
Nd (0.0000, 0.5000, 0.5000)
Nd (0.0000, 0.5000, 0.6988)
Nd (0.0000, 0.5000, 0.8979)
Nd (0.5000, 0.0000, 0.1021)
Nd (0.5000, 0.0000, 0.3012)
Nd (0.5000, 0.0000, 0.5000)
Nd (0.5000, 0.0000, 0.6988)
Nd (0.5000, 0.0000, 0.8979)
Nd (0.5000, 0.5000, 0.0000)
Nd (0.5000, 0.5000, 0.2023)
Nd (0.5000, 0.5000, 0.4006)
Nd (0.5000, 0.5000, 0.5994)
Nd (0.5000, 0.5000, 0.7977)
Ho (0.0000, 0.0000, 0.2018)
Ho (0.0000, 0.0000, 0.4007)
Ho (0.0000, 0.0000, 0.5993)
Ho (0.0000, 0.0000, 0.7982)

Summary:
DFT total energy, eV/cell: -94.351



no.,size of the total moment (μB per cell),ρ (g/cm3),N(E_F) (states/eV/cell)
1,6.05,11.7,9.6
2,0.00,7.1,28.0